#one
Density functional theory data (GGA-PBE) for KZr2Te4 after structural relaxation.

The structure in POSCAR format:
```
KZr2Te4
1.0
4.032 0.000 0.586
1.974 3.516 0.586
-0.216 -0.126 15.652
K Te Zr
1 4 2
Cartesian
0.000 0.000 0.000
0.654 0.383 9.665
1.639 0.959 2.891
4.152 2.431 13.933
5.136 3.007 7.159
2.409 1.410 11.761
3.382 1.980 5.063
```

Results
* crystal system: trigonal


#two
Density functional theory data (GGA-PBE) for KZr2Te4 after structural relaxation.

The structure in POSCAR format:
```
KZr2Te4
1.0
5.989 0.000 0.000
0.000 5.989 0.000
2.994 2.994 7.589
K Te Zr
1 4 2
Cartesian
0.000 0.000 0.000
5.989 5.989 3.662
2.994 2.994 3.926
0.000 2.994 0.000
2.994 0.000 0.000
5.989 5.989 6.266
2.994 2.994 1.322
```

Results
* crystal system: tetragonal


#three
Density functional theory data (GGA-PBE) for KZr2Te4 after structural relaxation.

The structure in POSCAR format:
```
KZr2Te4
1.0
-3.965 0.774 1.271
-0.389 -5.424 -4.963
1.521 -10.044 10.860
K Zr Te
2 4 8
Cartesian
-1.359 -8.245 7.837
-1.474 -6.449 -0.668
0.047 -5.679 3.605
-2.316 -12.738 7.589
-0.517 -1.956 -0.420
-2.880 -9.015 3.564
-3.089 -3.413 -0.502
-2.661 -6.243 2.558
0.256 -11.281 7.670
-0.172 -8.451 4.611
-2.831 -11.371 5.151
-0.002 -3.323 2.018
-1.983 0.387 0.636
-1.222 -4.635 6.066
```

Results
* crystal system: orthorhombic


It is #one that is the most stable of them.


#one
Density functional theory data (GGA-PBE) for KZrTe3 after structural relaxation.

The structure in POSCAR format:
```
KZrTe3
1.0
-2.852 -2.513 -0.846
2.142 -2.549 9.306
-6.867 7.165 1.870
K Zr Te
2 2 6
Cartesian
-4.115 0.933 2.140
-3.462 1.170 8.190
-2.147 -2.361 5.284
-5.430 4.464 5.045
-2.884 -2.449 8.028
-4.693 4.552 2.302
-6.249 4.416 7.946
-1.328 -2.313 2.383
-1.898 0.491 4.940
-5.679 1.613 5.390
```

Results
* crystal system: monoclinic


#two
Density functional theory data (GGA-PBE) for KZrTe3 after structural relaxation.

The structure in POSCAR format:
```
KZrTe3
1.0
-4.663 3.046 1.207
-0.981 -3.301 4.541
3.126 3.507 3.226
K Te Zr
1 3 1
Cartesian
-1.259 1.626 4.487
-0.491 -1.651 2.270
1.563 1.754 1.613
-2.331 1.523 0.604
0.000 0.000 0.000
```

Results
* crystal system: cubic


#three
Density functional theory data (GGA-PBE) for KZrTe3 after structural relaxation.

The structure in POSCAR format:
```
KZrTe3
1.0
-0.243 1.475 5.521
5.105 -2.427 0.873
2.568 4.965 -1.213
K Te Zr
1 3 1
Cartesian
0.000 0.000 0.000
2.552 -1.213 0.436
1.284 2.482 -0.607
-0.121 0.737 2.760
3.715 2.006 2.590
```

Results
* crystal system: cubic


It is #one that is the most stable of them.


#one
Density functional theory data (GGA-PBE) for KTiTl after structural relaxation.

The structure in POSCAR format:
```
KTiTl
1.0
-11.299 -3.874 -0.943
0.795 -0.696 4.519
-2.126 3.847 -1.491
Tl K Ti
2 2 2
Cartesian
-10.621 -1.587 0.421
-2.008 0.864 1.665
-7.602 -2.017 2.196
-5.027 1.294 -0.110
0.344 -0.041 3.639
-12.973 -0.682 -1.554
```

Results
* crystal system: monoclinic


#two
Density functional theory data (GGA-PBE) for KTiTl after structural relaxation.

The structure in POSCAR format:
```
KTiTl
1.0
-5.027 4.327 6.022
-1.683 -3.917 1.409
6.522 -0.670 5.926
Tl K Ti
4 4 4
Cartesian
-2.136 2.200 7.139
0.666 -0.423 10.349
1.948 -2.460 6.218
-0.854 0.163 3.009
5.114 -1.507 5.495
-1.394 -1.060 6.118
-5.302 1.247 7.863
1.206 0.800 7.240
2.086 -0.899 3.570
2.884 -1.797 9.180
-2.274 0.639 9.788
-3.072 1.537 4.178
```

Results
* crystal system: orthorhombic


It is #one that is the most stable of them.